16
Lattice="9.200 0.000 0.000 0.000 9.779 0.401 -4.600 -4.609 6.517" Properties=species:S:1:pos:R:3 comment="K4PrNp3Te8 PBE-GGA relaxed" total_energy_ev_per_fu=-89.28 pbc="T T T"
Pr 0.000 4.889 0.200
Te 2.271 2.492 6.628
Te 0.000 4.748 3.411
Te 4.600 0.421 3.506
Te 4.600 4.749 3.374
Te 2.329 2.678 0.289
Te 0.000 0.420 3.543
Te 6.871 2.678 0.289
Te -2.271 2.492 6.628
K 0.000 0.000 0.000
K 4.600 0.000 0.000
K -2.300 -2.305 3.258
K 2.300 -2.305 3.258
Np -2.300 2.585 3.459
Np 2.300 2.585 3.459
Np 4.600 4.889 0.200